# Sc4CoSi PBE-GGA optimized geometry
# space group = No. 216
# total moment = 1.04 μB per formula unit
data_Sc4CoSi
_space_group_name_H-M_alt 'P 1'
_space_group_IT_number 1
_space_group_name_Hall 'P 1'
_cell_length_a 5.5199
_cell_length_b 5.5199
_cell_length_c 5.5199
_cell_angle_alpha 60.00
_cell_angle_beta 60.00
_cell_angle_gamma 60.00
loop_
_atom_site_label
_atom_site_type_symbol
_atom_site_fract_x
_atom_site_fract_y
_atom_site_fract_z
Sc1 Sc 0.1253 0.1253 0.1253
Sc2 Sc 0.1253 0.1253 0.6240
Sc3 Sc 0.1253 0.6240 0.1253
Sc4 Sc 0.6240 0.1253 0.1253
Co1 Co 0.5000 0.5000 0.5000
Si1 Si 0.7500 0.7500 0.7500

=====

# Sc2CoSi PBE-GGA optimized geometry
# space group = No. 166
# total moment = 0.70 μB per formula unit
data_Sc2CoSi
_space_group_name_H-M_alt 'P 1'
_space_group_IT_number 1
_space_group_name_Hall 'P 1'
_cell_length_a 8.9020
_cell_length_b 8.9020
_cell_length_c 8.9020
_cell_angle_alpha 19.97
_cell_angle_beta 19.97
_cell_angle_gamma 19.97
loop_
_atom_site_label
_atom_site_type_symbol
_atom_site_fract_x
_atom_site_fract_y
_atom_site_fract_z
Sc1 Sc 0.0871 0.0871 0.0871
Sc2 Sc 0.9129 0.9129 0.9129
Co1 Co 0.0000 0.0000 0.0000
Si1 Si 0.5000 0.5000 0.5000

=====

Number 1: density of states at the Fermi level 1.471 states/eV/atom, formation energy from raw total energies 535 meV/atom, VASP energy -5.774 eV/atom. Number 2: density of states at the Fermi level 0.610 states/eV/atom, formation energy from raw total energies 178 meV/atom, VASP energy -6.120 eV/atom.